Hf2TiCrSe | PBE | relaxed

## Properties
ΔE_f (raw): 0.605 eV/atom

a b c (Å): 4.8873 4.4320 4.8873
angles (deg): 90.00 90.00 90.00
Fractional positions:
Hf: 0.5000 0.0000 0.0000
Ti: 0.5000 0.5000 0.5000
Cr: 0.0000 0.0000 0.0000
Hf: 0.0000 0.0000 0.5000
Se: 0.0000 0.5000 0.0000

***

La2DyTh | PBE | relaxed

## Properties
Energy relative to the lowest polymorph listed for this composition: 0.031 eV/atom
E_form: 0.05 eV/atom

a b c (Å): 5.1650 5.1291 5.1291
angles (deg): 90.00 90.00 90.00
Fractional positions:
La: 0.0000 0.5000 0.0000
Dy: 0.5000 0.5000 0.5000
Th: 0.5000 0.0000 0.0000
La: 0.0000 0.0000 0.5000

***

Ca3Sm3Au4 | PBE | relaxed

## Properties
E_form: -0.69 eV/atom

a b c (Å): 8.2764 8.2764 3.9944
angles (deg): 90.00 90.00 90.95
Fractional positions:
Au: 0.8635 0.8561 0.0000
Ca: 0.5027 0.9998 0.0000
Au: 0.3614 0.6386 0.0000
Sm: 0.6576 0.6558 0.5000
Ca: 0.0002 0.4973 0.0000
Sm: 0.1531 0.8469 0.5000
Sm: 0.3442 0.3424 0.5000
Ca: 0.8412 0.1588 0.5000
Au: 0.1439 0.1365 0.0000
Au: 0.6323 0.3677 0.0000

***

GaPb3Cl | PBE | relaxed

## Properties
Energy relative to the lowest polymorph listed for this composition: 0.139 eV/atom
ΔE_f (raw): 0.296 eV/atom

a b c (Å): 5.5846 5.5846 5.5846
angles (deg): 90.00 90.00 90.00
Fractional positions:
Ga: 0.5000 0.5000 0.5000
Pb: 0.0000 0.0000 0.5000
Cl: 0.0000 0.0000 0.0000
Pb: 0.5000 0.0000 0.0000
Pb: 0.0000 0.5000 0.0000

***

TlZnCr2 | PBE | relaxed

## Properties
E_form: 0.50 eV/atom

a b c (Å): 4.5903 4.5903 4.5903
angles (deg): 60.00 60.00 60.00
Fractional positions:
Tl: 0.5000 0.5000 0.5000
Cr: 0.0000 0.0000 0.0000
Zn: 0.7500 0.7500 0.7500
Cr: 0.2500 0.2500 0.2500

***

LaReBr | PBE | relaxed

## Properties
Energy relative to the lowest polymorph listed for this composition: 0.100 eV/atom
ΔE_f (raw): 0.459 eV/atom

a b c (Å): 7.1026 7.1026 7.1026
angles (deg): 152.53 152.53 39.24
Fractional positions:
Br: 0.9931 0.9931 0.0000
La: 0.3275 0.3275 0.0000
Re: 0.6793 0.6793 0.0000

***

Zr3Ta3N | PBE | relaxed

## Properties
ΔE_f (raw): -0.457 eV/atom

a b c (Å): 8.9608 8.9608 8.9608
angles (deg): 60.00 60.00 60.00
Fractional positions:
Zr: 0.1845 0.1845 0.8155
Ta: 0.4990 0.8337 0.8337
Zr: 0.8155 0.1845 0.1845
Ta: 0.6250 0.6250 0.6250
Ta: 0.1250 0.6250 0.6250
Zr: 0.8155 0.8155 0.1845
N: 0.1250 0.1250 0.6250
Ta: 0.7510 0.4163 0.4163
N: 0.1250 0.1250 0.1250
N: 0.1250 0.6250 0.1250
Ta: 0.8337 0.8337 0.8337
Ta: 0.4163 0.4163 0.4163
Ta: 0.8337 0.4990 0.8337
Zr: 0.1845 0.8155 0.8155
Ta: 0.8337 0.8337 0.4990
Ta: 0.4163 0.7510 0.4163
Zr: 0.0655 0.4345 0.4345
Zr: 0.0655 0.4345 0.0655
Ta: 0.4163 0.4163 0.7510
Zr: 0.4345 0.0655 0.4345
Ta: 0.6250 0.6250 0.1250
Zr: 0.8155 0.1845 0.8155
Zr: 0.0655 0.0655 0.4345
Zr: 0.4345 0.0655 0.0655
N: 0.6250 0.1250 0.1250
Zr: 0.1845 0.8155 0.1845
Ta: 0.6250 0.1250 0.6250
Zr: 0.4345 0.4345 0.0655

***

Pm2CrCu3Ni12 | PBE | relaxed

## Properties
E_form: 0.26 eV/atom

a b c (Å): 9.0732 9.0732 9.0732
angles (deg): 38.73 38.73 38.73
Fractional positions:
Cu: 0.0000 0.5000 0.0000
Ni: 0.3486 0.9307 0.9307
Ni: 0.0693 0.0693 0.6514
Ni: 0.9307 0.3486 0.9307
Cu: 0.5000 0.0000 0.0000
Ni: 0.4214 0.8120 0.4214
Ni: 0.4214 0.4214 0.8120
Ni: 0.1880 0.5786 0.5786
Ni: 0.5786 0.1880 0.5786
Pm: 0.6536 0.6536 0.6536
Cr: 0.0000 0.0000 0.0000
Cu: 0.0000 0.0000 0.5000
Ni: 0.5786 0.5786 0.1880
Pm: 0.3464 0.3464 0.3464
Ni: 0.8120 0.4214 0.4214
Ni: 0.6514 0.0693 0.0693
Ni: 0.0693 0.6514 0.0693
Ni: 0.9307 0.9307 0.3486

***

Pm3Sm2Ho6Tm | PBE | relaxed

## Properties
E_form: 0.02 eV/atom

a b c (Å): 6.1864 6.1864 11.7892
angles (deg): 95.00 95.00 119.97
Fractional positions:
Tm: 0.0000 0.0000 0.0000
Ho: 0.4155 0.0828 0.2483
Pm: 0.8334 0.1666 0.5000
Ho: 0.5845 0.9172 0.7517
Ho: 0.9172 0.5845 0.7517
Sm: 0.3335 0.6665 0.0000
Ho: 0.2497 0.2497 0.7515
Pm: 0.5000 0.5000 0.5000
Sm: 0.6665 0.3335 0.0000
Ho: 0.0828 0.4155 0.2483
Pm: 0.1666 0.8334 0.5000
Ho: 0.7503 0.7503 0.2485

***

TeRh2 | PBE | relaxed

## Properties
Energy relative to the lowest polymorph listed for this composition: 0.063 eV/atom
ΔE_f (raw): -0.107 eV/atom

a b c (Å): 4.9463 4.9463 4.5528
angles (deg): 90.00 90.00 106.48
Fractional positions:
Rh: 0.8170 0.4490 0.2500
Te: 0.7504 0.7504 0.7500
Te: 0.2496 0.2496 0.2500
Rh: 0.4490 0.8170 0.2500
Rh: 0.1830 0.5510 0.7500
Rh: 0.5510 0.1830 0.7500

***

La4Pr2As3N2 | PBE | relaxed

## Properties
ΔE_f (raw): -1.251 eV/atom

a b c (Å): 4.7589 4.7589 13.0874
angles (deg): 100.48 100.48 90.00
Fractional positions:
N: 0.3938 0.3938 0.7875
La: 0.9192 0.4192 0.8384
As: 0.1775 0.1775 0.3551
La: 0.0808 0.5808 0.1616
Pr: 0.3016 0.3016 0.6031
N: 0.6062 0.6062 0.2125
As: 0.8225 0.8225 0.6449
La: 0.4192 0.9192 0.8384
La: 0.5808 0.0808 0.1616
As: 0.0000 0.0000 0.0000
Pr: 0.6984 0.6984 0.3969

***

CeThCdC | PBE | relaxed

## Properties
E_form: -0.20 eV/atom

a b c (Å): 3.5994 3.6026 8.8331
angles (deg): 90.00 101.73 120.02
Fractional positions:
Ce: 0.5240 0.1599 0.6988
Cd: 0.9728 0.3846 0.3719
C: 0.2997 0.5477 0.8630
Th: 0.0814 0.9386 0.0360

***

ZrGeSbI2 | PBE | relaxed

## Properties
Energy relative to the lowest polymorph listed for this composition: 0.389 eV/atom
ΔE_f (raw): 0.652 eV/atom

a b c (Å): 5.4573 5.4573 5.5400
angles (deg): 90.00 90.00 90.00
Fractional positions:
Ge: 0.0000 0.0000 0.0000
Sb: 0.0000 0.0000 0.5000
Zr: 0.5000 0.5000 0.5000
I: 0.5000 0.0000 0.0000
I: 0.0000 0.5000 0.0000

***

Ba2CuPt | PBE | relaxed

## Properties
E_form: -0.31 eV/atom

a b c (Å): 8.0522 8.0522 8.0522
angles (deg): 33.46 33.46 33.46
Fractional positions:
Pt: 0.7500 0.7500 0.7500
Ba: 0.4935 0.4935 0.4935
Cu: 0.2500 0.2500 0.2500
Ba: 0.0065 0.0065 0.0065

***

CaCrW2 | PBE | relaxed

## Properties
Energy relative to the lowest polymorph listed for this composition: 0.442 eV/atom
E_form: 1.07 eV/atom

a b c (Å): 4.5288 4.5288 4.5288
angles (deg): 60.00 60.00 60.00
Fractional positions:
W: 0.7500 0.7500 0.7500
W: 0.2500 0.2500 0.2500
Ca: 0.0000 0.0000 0.0000
Cr: 0.5000 0.5000 0.5000

***

Tb4Nd6Er | PBE | relaxed

## Properties
Energy relative to the lowest polymorph listed for this composition: 0.011 eV/atom
E_form: 0.29 eV/atom

a b c (Å): 6.7665 6.7665 9.6503
angles (deg): 110.52 110.52 90.00
Fractional positions:
Tb: 0.7040 0.0576 0.7616
Nd: 0.0000 0.5000 0.0000
Tb: 0.0576 0.7040 0.7616
Tb: 0.2960 0.2960 0.2384
Nd: 0.5000 0.0000 0.0000
Tb: 0.9424 0.9424 0.2384
Nd: 0.4866 0.8676 0.3542
Nd: 0.5134 0.5134 0.6458
Nd: 0.8676 0.4866 0.3542
Nd: 0.1324 0.1324 0.6458
Er: 0.5000 0.5000 0.0000

***

BaSc2P | PBE | relaxed

## Properties
E_form: -0.50 eV/atom

a b c (Å): 4.3106 4.1594 7.0283
angles (deg): 72.93 90.00 90.00
Fractional positions:
P: 0.5000 0.9047 0.8147
Sc: 0.5000 0.2716 0.0832
Ba: 0.0000 0.5247 0.5736
Sc: 0.0000 0.7990 0.0284

***

CsAcZn2F8 | PBE | relaxed

## Properties
ΔE_f (raw): -2.939 eV/atom

a b c (Å): 5.6303 5.6303 9.1800
angles (deg): 72.14 72.14 60.00
Fractional positions:
Zn: 0.2587 0.2587 0.2239
F: 0.9117 0.5333 0.3259
F: 0.0883 0.7709 0.6741
F: 0.7709 0.4667 0.6741
F: 0.4667 0.0883 0.6741
F: 0.5333 0.2291 0.3259
F: 0.3309 0.3309 0.0074
F: 0.6691 0.6691 0.9926
Zn: 0.7413 0.7413 0.7761
Ac: 0.5000 0.5000 0.5000
Cs: 0.0000 0.0000 0.0000
F: 0.2291 0.9117 0.3259

***

Cs2NaGePt | PBE | relaxed

## Properties
Energy relative to the lowest polymorph listed for this composition: 0.000 eV/atom
E_form: -0.07 eV/atom

a b c (Å): 7.0754 7.0754 4.7258
angles (deg): 90.00 90.00 90.00
Fractional positions:
Pt: 0.0000 0.0000 0.0000
Ge: 0.0000 0.0000 0.5000
Cs: 0.0000 0.5000 0.0000
Na: 0.5000 0.5000 0.5000
Cs: 0.5000 0.0000 0.0000

***

Ca2GaOsC | PBE | relaxed

## Properties
E_form: -0.08 eV/atom

a b c (Å): 5.0407 5.0407 3.9162
angles (deg): 90.00 90.00 90.00
Fractional positions:
Ca: 0.0000 0.5000 0.0000
C: 0.0000 0.0000 0.0000
Ga: 0.5000 0.5000 0.5000
Ca: 0.5000 0.0000 0.0000
Os: 0.0000 0.0000 0.5000